This record from Alexandria describes a geometry-optimized Tb3TmAs4 structure. The functional is PBE. Values from VASP.

Quantum ESPRESSO input file:
```
&SYSTEM
  ibrav = 0, nat = 8, ntyp = 3
/
ATOMIC_SPECIES
Tb 158.93 Tb.upf
Tm 168.93 Tm.upf
As 74.92 As.upf
CELL_PARAMETERS angstrom
5.823 0.000 0.000
0.000 5.823 0.000
0.000 0.000 5.823
ATOMIC_POSITIONS crystal
Tb 0.000 0.000 0.500
Tb 0.000 0.500 0.000
Tb 0.500 0.000 0.000
Tm 0.500 0.500 0.500
As 0.000 0.000 0.000
As 0.000 0.500 0.500
As 0.500 0.000 0.500
As 0.500 0.500 0.000
```

## Properties
Spin magnetization (μB/f.u.): 0.0
Calculated formation energy (eV/atom): -1.53
Space-group type: Pm-3m (221)